CaMoSe4 (PBE, optimized geometry); space group = F-43m; uncorrected formation energy = 0.4793 eV/atom; D(E_F) = 3.86 states/eV/cell
1.0
0.000 4.137 4.137
4.137 0.000 4.137
4.137 4.137 0.000
Ca Mo Se
1 1 4
Direct
0.000 0.000 0.000 Ca
0.750 0.750 0.750 Mo
0.375 0.375 0.375 Se
0.375 0.375 0.874 Se
0.375 0.874 0.375 Se
0.874 0.375 0.375 Se